Here is crystalline Pm8HgTe4As3 at its relaxed geometry from Alexandria via LeMat-Bulk. Energies are from PBE.

The structure belongs to space group R-3m (No. 166, hexagonal axes); the cell edges are 8.7112, 8.7112 and 21.6759 Å and the angles 90.00°, 90.00° and 120.00°. The distinct sites, in fractional coordinates, are Pm at (0.0000, 0.0000, 0.2398), Pm at (0.0071, 0.5035, 0.7566), Hg at (0.0000, 0.0000, 0.5000), Te at (0.0000, 0.0000, 0.0000), Te at (0.0000, 0.5000, 0.0000) and As at (0.0000, 0.5000, 0.5000).

The value obtained for the raw formation energy is -1.376 eV per atom.